No. 1
The following is a meta-GGA SCAN calculation of a PBEsol-optimized structure of Cr2AuSe, from Alexandria.

```
4
Lattice="-1.994 -2.037 0.655 2.130 -1.805 0.871 -0.493 2.612 6.620" Properties=species:S:1:pos:R:3 pbc="T T T"
Au -0.322 0.151 6.015
Cr -0.022 0.115 0.292
Cr -0.046 -1.312 2.306
Se -0.212 1.122 2.843
```

Values from the calculation:
As for the magnetic moment: 1.17 μB per cell. The uncorrected formation energy is 1.02 kcal/mol of atoms. For the density of states at the Fermi level, the calculation gives 1.92 states/eV/cell.


No. 2
The following is a meta-GGA SCAN calculation of a PBEsol-optimized structure of CrAuSe2, from Alexandria.

```
4
Lattice="-1.310 -1.009 -2.397 2.511 0.209 -1.460 1.976 -7.939 2.261" Properties=species:S:1:pos:R:3 pbc="T T T"
Au 1.063 -4.273 1.217
Cr 2.108 -6.458 -0.203
Se 1.814 -7.289 2.076
Se 1.155 -2.629 -1.294
```

Values from the calculation:
As for the magnetic moment: 2.88 μB per cell. The uncorrected formation energy is 0.06 kcal/mol of atoms. For the density of states at the Fermi level, the calculation gives 1.48 states/eV/cell.


No. 3
The following is a meta-GGA SCAN calculation of a PBEsol-optimized structure of CrSi2Au, from Alexandria.

```
4
Lattice="4.255 0.000 0.000 2.128 3.685 0.000 2.128 1.228 3.474" Properties=species:S:1:pos:R:3 pbc="T T T"
Cr 0.000 0.000 0.000
Si 2.128 1.228 0.869
Si 6.383 3.685 2.606
Au 4.255 2.457 1.737
```

Values from the calculation:
As for the magnetic moment: 2.94 μB per cell. The uncorrected formation energy is 8.06 kcal/mol of atoms. For the density of states at the Fermi level, the calculation gives 2.28 states/eV/cell.


No. 4
The following is a meta-GGA SCAN calculation of a PBEsol-optimized structure of CrSi2Au, from Alexandria.

```
4
Lattice="3.607 0.000 0.000 0.000 3.607 0.000 -1.804 -1.804 4.211" Properties=species:S:1:pos:R:3 pbc="T T T"
Au 1.804 1.804 0.000
Cr 0.000 1.804 2.106
Si 0.000 0.000 0.000
Si 1.804 0.000 2.106
```

Values from the calculation:
As for the magnetic moment: 2.09 μB per cell. The uncorrected formation energy is 1.21 kcal/mol of atoms. For the density of states at the Fermi level, the calculation gives 1.33 states/eV/cell.


No. 5
The following is a meta-GGA SCAN calculation of a PBEsol-optimized structure of CrSi2Au, from Alexandria.

```
4
Lattice="-1.965 -1.410 2.941 -0.965 -3.029 -2.097 4.529 0.422 0.764" Properties=species:S:1:pos:R:3 pbc="T T T"
Au -0.482 -1.514 -1.049
Cr -0.983 -0.705 1.470
Si 0.067 -3.118 1.015
Si 1.532 -0.899 0.593
```

Values from the calculation:
As for the magnetic moment: 1.07 μB per cell. The uncorrected formation energy is 4.01 kcal/mol of atoms. For the density of states at the Fermi level, the calculation gives 0.81 states/eV/cell.


No. 6
The following is a meta-GGA SCAN calculation of a PBEsol-optimized structure of SrCrAu2, from Alexandria.

```
4
Lattice="4.242 0.000 0.000 0.000 4.242 0.000 -2.121 -2.121 4.558" Properties=species:S:1:pos:R:3 pbc="T T T"
Au 0.000 0.000 0.000
Au 2.121 0.000 2.279
Cr 2.121 2.121 0.000
Sr 0.000 2.121 2.279
```

Values from the calculation:
As for the magnetic moment: 4.61 μB per cell. The formation energy from the elements is -297 meV per atom. For the density of states at the Fermi level, the calculation gives 1.06 states/eV/cell.


No. 7
The following is a meta-GGA SCAN calculation of a PBEsol-optimized structure of SrCr3Au, from Alexandria.

```
5
Lattice="5.054 0.000 0.000 0.000 5.054 0.000 0.000 0.000 5.054" Properties=species:S:1:pos:R:3 pbc="T T T"
Sr 2.527 2.527 2.527
Au 0.000 0.000 0.000
Cr 0.000 2.527 0.000
Cr 0.000 0.000 2.527
Cr 2.527 0.000 0.000
```

Values from the calculation:
As for the magnetic moment: 13.97 μB per cell. The formation energy from the elements is 515 meV per atom. For the density of states at the Fermi level, the calculation gives 3.27 states/eV/cell.


No. 8
The following is a meta-GGA SCAN calculation of a PBEsol-optimized structure of Ta2CrAu, from Alexandria.

```
4
Lattice="-3.335 1.045 1.810 -1.831 -3.107 -1.579 3.642 -1.256 3.155" Properties=species:S:1:pos:R:3 pbc="T T T"
Au -2.583 -1.031 0.116
Cr -0.386 -2.696 0.846
Ta 0.000 0.000 0.000
Ta -1.138 -0.620 2.541
```

Values from the calculation:
As for the magnetic moment: 1.55 μB per cell. The formation energy from the elements is 8 meV per atom. For the density of states at the Fermi level, the calculation gives 2.76 states/eV/cell.


No. 9
The following is a meta-GGA SCAN calculation of a PBEsol-optimized structure of Ta2CrAu, from Alexandria.

```
4
Lattice="-0.174 2.144 1.780 0.078 -2.571 3.105 5.679 -0.352 -0.434" Properties=species:S:1:pos:R:3 pbc="T T T"
Au -0.048 -0.213 2.443
Cr 2.792 -0.390 2.225
Ta 3.985 1.699 1.306
Ta 1.520 0.093 0.039
```

Values from the calculation:
As for the magnetic moment: 0.00 μB per cell. The formation energy from the elements is 31 meV per atom. For the density of states at the Fermi level, the calculation gives 3.04 states/eV/cell.


No. 10
The following is a meta-GGA SCAN calculation of a PBEsol-optimized structure of Ta2CrAu, from Alexandria.

```
4
Lattice="2.840 0.000 0.015 0.000 4.502 0.000 -0.668 0.000 5.003" Properties=species:S:1:pos:R:3 pbc="T T T"
Au 0.725 0.000 2.379
Cr 0.504 2.251 4.029
Ta 2.205 0.000 4.766
Ta 1.997 2.251 1.369
```

Values from the calculation:
As for the magnetic moment: 1.74 μB per cell. The formation energy from the elements is 42 meV per atom. For the density of states at the Fermi level, the calculation gives 3.43 states/eV/cell.


No. 11
The following is a meta-GGA SCAN calculation of a PBEsol-optimized structure of Ta2CrTeAu, from Alexandria.

```
5
Lattice="4.917 0.000 0.000 0.000 4.917 0.000 0.000 0.000 5.356" Properties=species:S:1:pos:R:3 pbc="T T T"
Cr 2.458 2.458 2.678
Te 0.000 0.000 2.678
Au 0.000 0.000 0.000
Ta 0.000 2.458 0.000
Ta 2.458 0.000 0.000
```

Values from the calculation:
As for the magnetic moment: 2.64 μB per cell. The uncorrected formation energy is 38.64 kcal/mol of atoms. For the density of states at the Fermi level, the calculation gives 5.32 states/eV/cell.


No. 12
The following is a meta-GGA SCAN calculation of a PBEsol-optimized structure of CrTc2Au, from Alexandria.

```
4
Lattice="2.648 0.426 0.000 -0.427 2.648 0.000 0.000 0.000 7.765" Properties=species:S:1:pos:R:3 pbc="T T T"
Au 1.111 1.537 3.882
Cr 1.111 1.537 0.000
Tc 0.000 0.000 1.696
Tc 0.000 0.000 6.069
```

Values from the calculation:
As for the magnetic moment: 0.00 μB per cell. The formation energy from the elements is 203 meV per atom. For the density of states at the Fermi level, the calculation gives 3.40 states/eV/cell.